# PBE with a Hubbard U Mg3Fe4O7, relaxed
data_Mg3Fe4O7
_symmetry_space_group_name_H-M 'P 1'
_symmetry_Int_Tables_number 1
_cell_length_a 11.012
_cell_length_b 11.012
_cell_length_c 11.012
_cell_angle_alpha 156.93
_cell_angle_beta 28.15
_cell_angle_gamma 164.10
loop_
_symmetry_equiv_pos_as_xyz
'x,y,z'
loop_
_atom_site_label
_atom_site_fract_x
_atom_site_fract_y
_atom_site_fract_z
_atom_site_occupancy
Mg1 0.000 0.000 0.000 1
Mg2 0.149 0.007 0.141 1
Mg3 0.866 0.007 0.859 1
Fe1 0.271 0.987 0.284 1
Fe2 0.431 0.003 0.428 1
Fe3 0.575 0.003 0.572 1
Fe4 0.704 0.987 0.716 1
O1 0.033 0.533 0.500 1
O2 0.114 0.470 0.644 1
O3 0.301 0.512 0.789 1
O4 0.432 0.503 0.929 1
O5 0.574 0.503 0.071 1
O6 0.723 0.512 0.211 1
O7 0.827 0.470 0.356 1
# **Energy**: -89.1 eV for the cell shown
# **ρ**: 4.73 Mg/m³
# **Space group**: Imm2 (44)
# **V**: 10.2 Å³ per atom

---

# PBE with a Hubbard U MgFe2O3, relaxed
data_MgFe2O3
_symmetry_space_group_name_H-M 'P 1'
_symmetry_Int_Tables_number 1
_cell_length_a 6.878
_cell_length_b 6.878
_cell_length_c 6.878
_cell_angle_alpha 154.54
_cell_angle_beta 154.54
_cell_angle_gamma 36.31
loop_
_symmetry_equiv_pos_as_xyz
'x,y,z'
loop_
_atom_site_label
_atom_site_fract_x
_atom_site_fract_y
_atom_site_fract_z
_atom_site_occupancy
Mg1 0.000 0.000 0.000 1
Fe1 0.325 0.325 0.000 1
Fe2 0.675 0.675 0.000 1
O1 0.160 0.160 0.000 1
O2 0.500 0.500 0.000 1
O3 0.840 0.840 0.000 1
# **Energy**: -37.1 eV for the cell shown
# **ρ**: 5.09 Mg/m³
# **Space group**: I4/mmm (139)
# **V**: 10.0 Å³ per atom

---

# PBE with a Hubbard U Mg4FeO5, relaxed
data_Mg4FeO5
_symmetry_space_group_name_H-M 'P 1'
_symmetry_Int_Tables_number 1
_cell_length_a 12.464
_cell_length_b 12.464
_cell_length_c 12.464
_cell_angle_alpha 13.97
_cell_angle_beta 13.97
_cell_angle_gamma 13.97
loop_
_symmetry_equiv_pos_as_xyz
'x,y,z'
loop_
_atom_site_label
_atom_site_fract_x
_atom_site_fract_y
_atom_site_fract_z
_atom_site_occupancy
Mg1 0.099 0.099 0.099 1
Mg2 0.300 0.300 0.300 1
Mg3 0.700 0.700 0.700 1
Mg4 0.901 0.901 0.901 1
Fe1 0.500 0.500 0.500 1
O1 0.000 0.000 0.000 1
O2 0.202 0.202 0.202 1
O3 0.400 0.400 0.400 1
O4 0.600 0.600 0.600 1
O5 0.798 0.798 0.798 1
# **Energy**: -61.1 eV for the cell shown
# **ρ**: 3.94 Mg/m³
# **Space group**: R-3m (166)
# **V**: 9.8 Å³ per atom

---

# PBE with a Hubbard U Mg6FeO8, relaxed
data_Mg6FeO8
_symmetry_space_group_name_H-M 'P 1'
_symmetry_Int_Tables_number 1
_cell_length_a 6.006
_cell_length_b 6.006
_cell_length_c 6.006
_cell_angle_alpha 60.00
_cell_angle_beta 60.00
_cell_angle_gamma 60.00
loop_
_symmetry_equiv_pos_as_xyz
'x,y,z'
loop_
_atom_site_label
_atom_site_fract_x
_atom_site_fract_y
_atom_site_fract_z
_atom_site_occupancy
Mg1 0.000 0.000 0.500 1
Mg2 0.000 0.500 0.000 1
Mg3 0.000 0.500 0.500 1
Mg4 0.500 0.000 0.000 1
Mg5 0.500 0.000 0.500 1
Mg6 0.500 0.500 0.000 1
Fe1 0.000 0.000 0.000 1
O1 0.233 0.233 0.767 1
O2 0.233 0.767 0.233 1
O3 0.233 0.767 0.767 1
O4 0.250 0.250 0.250 1
O5 0.750 0.750 0.750 1
O6 0.767 0.233 0.233 1
O7 0.767 0.233 0.767 1
O8 0.767 0.767 0.233 1
# **Energy**: -90.7 eV for the cell shown
# **ρ**: 3.57 Mg/m³
# **Space group**: Fm-3m (225)
# **V**: 10.2 Å³ per atom

---

# PBE with a Hubbard U MgFe3O, relaxed
data_MgFe3O
_symmetry_space_group_name_H-M 'P 1'
_symmetry_Int_Tables_number 1
_cell_length_a 4.641
_cell_length_b 4.641
_cell_length_c 4.641
_cell_angle_alpha 90.00
_cell_angle_beta 90.00
_cell_angle_gamma 90.00
loop_
_symmetry_equiv_pos_as_xyz
'x,y,z'
loop_
_atom_site_label
_atom_site_fract_x
_atom_site_fract_y
_atom_site_fract_z
_atom_site_occupancy
Mg1 0.000 0.000 0.000 1
Fe1 0.000 0.000 0.500 1
Fe2 0.000 0.500 0.000 1
Fe3 0.500 0.000 0.000 1
O1 0.500 0.500 0.500 1
# **Energy**: -14.7 eV for the cell shown
# **ρ**: 3.45 Mg/m³
# **Space group**: Pm-3m (221)
# **V**: 20.0 Å³ per atom

---

# PBE with a Hubbard U Mg2Fe2O5, relaxed
data_Mg2Fe2O5
_symmetry_space_group_name_H-M 'P 1'
_symmetry_Int_Tables_number 1
_cell_length_a 7.497
_cell_length_b 10.391
_cell_length_c 3.283
_cell_angle_alpha 90.00
_cell_angle_beta 90.00
_cell_angle_gamma 90.00
loop_
_symmetry_equiv_pos_as_xyz
'x,y,z'
loop_
_atom_site_label
_atom_site_fract_x
_atom_site_fract_y
_atom_site_fract_z
_atom_site_occupancy
Mg1 0.094 0.126 0.000 1
Mg2 0.406 0.626 0.000 1
Mg3 0.594 0.374 0.000 1
Mg4 0.906 0.874 0.000 1
Fe1 0.194 0.393 0.500 1
Fe2 0.306 0.893 0.500 1
Fe3 0.694 0.107 0.500 1
Fe4 0.806 0.607 0.500 1
O1 0.000 0.500 0.500 1
O2 0.139 0.218 0.500 1
O3 0.166 0.936 0.000 1
O4 0.334 0.436 0.000 1
O5 0.361 0.718 0.500 1
O6 0.500 0.000 0.500 1
O7 0.639 0.282 0.500 1
O8 0.666 0.564 0.000 1
O9 0.834 0.064 0.000 1
O10 0.861 0.782 0.500 1
# **Energy**: -112.4 eV for the cell shown
# **ρ**: 3.12 Mg/m³
# **Space group**: Pbam (55)
# **V**: 14.2 Å³ per atom

---

# PBE with a Hubbard U Mg4FeO5, relaxed
data_Mg4FeO5
_symmetry_space_group_name_H-M 'P 1'
_symmetry_Int_Tables_number 1
_cell_length_a 3.019
_cell_length_b 3.019
_cell_length_c 24.897
_cell_angle_alpha 93.30
_cell_angle_beta 90.17
_cell_angle_gamma 119.83
loop_
_symmetry_equiv_pos_as_xyz
'x,y,z'
loop_
_atom_site_label
_atom_site_fract_x
_atom_site_fract_y
_atom_site_fract_z
_atom_site_occupancy
Mg1 0.090 0.190 0.299 1
Mg2 0.209 0.411 0.602 1
Mg3 0.311 0.605 0.898 1
Mg4 0.389 0.792 0.201 1
Mg5 0.611 0.208 0.799 1
Mg6 0.689 0.395 0.102 1
Mg7 0.791 0.589 0.398 1
Mg8 0.910 0.810 0.701 1
Fe1 0.000 0.000 0.000 1
Fe2 0.500 0.000 0.500 1
O1 0.038 0.093 0.151 1
O2 0.139 0.283 0.447 1
O3 0.261 0.509 0.750 1
O4 0.336 0.695 0.053 1
O5 0.440 0.889 0.349 1
O6 0.560 0.111 0.651 1
O7 0.664 0.305 0.947 1
O8 0.739 0.491 0.250 1
O9 0.861 0.717 0.553 1
O10 0.962 0.907 0.849 1
# **Energy**: -122.4 eV for the cell shown
# **ρ**: 3.94 Mg/m³
# **Space group**: P-1 (2)
# **V**: 9.8 Å³ per atom

---

# PBE with a Hubbard U Mg4FeO5, relaxed
data_Mg4FeO5
_symmetry_space_group_name_H-M 'P 1'
_symmetry_Int_Tables_number 1
_cell_length_a 5.244
_cell_length_b 5.244
_cell_length_c 5.244
_cell_angle_alpha 99.50
_cell_angle_beta 99.50
_cell_angle_gamma 132.06
loop_
_symmetry_equiv_pos_as_xyz
'x,y,z'
loop_
_atom_site_label
_atom_site_fract_x
_atom_site_fract_y
_atom_site_fract_z
_atom_site_occupancy
Mg1 0.101 0.700 0.801 1
Mg2 0.300 0.101 0.400 1
Mg3 0.700 0.899 0.600 1
Mg4 0.899 0.300 0.199 1
Fe1 0.500 0.500 0.000 1
O1 0.000 0.000 0.000 1
O2 0.195 0.397 0.591 1
O3 0.397 0.805 0.202 1
O4 0.603 0.195 0.798 1
O5 0.805 0.603 0.409 1
# **Energy**: -60.2 eV for the cell shown
# **ρ**: 3.96 Mg/m³
# **Space group**: I4/m (87)
# **V**: 9.8 Å³ per atom